Run one
ScNbBr3: optimized geometry, PBEsol.

Structure (CIF):
```
data_ScNbBr3
_chemical_formula_sum 'Sc1 Nb1 Br3'
_symmetry_space_group_name_H-M 'P m -3 m'
_symmetry_Int_Tables_number 221
_symmetry_space_group_name_Hall '-P 4 2 3'
_cell_length_a 5.1677
_cell_length_b 5.1677
_cell_length_c 5.1677
_cell_angle_alpha 90.00
_cell_angle_beta 90.00
_cell_angle_gamma 90.00
loop_
_atom_site_label
_atom_site_fract_x
_atom_site_fract_y
_atom_site_fract_z
_atom_site_occupancy
Sc1 0.0000 0.0000 0.0000 1
Nb1 0.5000 0.5000 0.5000 1
Br1 0.0000 0.0000 0.5000 1
```

Summary:
**N(E_F)**: 1.43 states/eV per atom
**Volume**: 27.6 A^3/atom



Run two
ScNbBr3: optimized geometry, PBEsol.

Structure (CIF):
```
data_ScNbBr3
_chemical_formula_sum 'Sc1 Nb1 Br3'
_symmetry_space_group_name_H-M 'P m -3 m'
_symmetry_Int_Tables_number 221
_symmetry_space_group_name_Hall '-P 4 2 3'
_cell_length_a 5.1065
_cell_length_b 5.1065
_cell_length_c 5.1065
_cell_angle_alpha 90.00
_cell_angle_beta 90.00
_cell_angle_gamma 90.00
loop_
_atom_site_label
_atom_site_fract_x
_atom_site_fract_y
_atom_site_fract_z
_atom_site_occupancy
Sc1 0.0000 0.0000 0.0000 1
Nb1 0.5000 0.5000 0.5000 1
Br1 0.0000 0.5000 0.5000 1
```

Summary:
**N(E_F)**: 1.34 states/eV per atom
**Volume**: 26.6 A^3/atom



The most stable of them is run one.



Run one
NiPBr: optimized geometry, PBEsol.

Structure (CIF):
```
data_NiPBr
_chemical_formula_sum 'Ni2 P2 Br2'
_symmetry_space_group_name_H-M 'I 4 m m'
_symmetry_Int_Tables_number 107
_symmetry_space_group_name_Hall 'I 4 -2'
_cell_length_a 3.1487
_cell_length_b 3.1487
_cell_length_c 10.5727
_cell_angle_alpha 90.00
_cell_angle_beta 90.00
_cell_angle_gamma 90.00
loop_
_atom_site_label
_atom_site_fract_x
_atom_site_fract_y
_atom_site_fract_z
_atom_site_occupancy
Ni1 0.0000 0.0000 0.0000 1
P1 0.0000 0.0000 0.4513 1
Br1 0.0000 0.0000 0.2325 1
```

Summary:
**N(E_F)**: 0.32 states/eV per atom
**Volume**: 17.5 A^3/atom



Run two
NiPBr: optimized geometry, PBEsol.

Structure (CIF):
```
data_NiPBr
_chemical_formula_sum 'Ni4 P4 Br4'
_symmetry_space_group_name_H-M 'F -4 3 m'
_symmetry_Int_Tables_number 216
_symmetry_space_group_name_Hall 'F -4 2 3'
_cell_length_a 5.8914
_cell_length_b 5.8914
_cell_length_c 5.8914
_cell_angle_alpha 90.00
_cell_angle_beta 90.00
_cell_angle_gamma 90.00
loop_
_atom_site_label
_atom_site_fract_x
_atom_site_fract_y
_atom_site_fract_z
_atom_site_occupancy
Ni1 0.0000 0.0000 0.0000 1
P1 0.2500 0.2500 0.7500 1
Br1 0.2500 0.2500 0.2500 1
```

Summary:
**N(E_F)**: 1.05 states/eV per atom
**Volume**: 17.0 A^3/atom



Run three
NiPBr: optimized geometry, PBEsol.

Structure (CIF):
```
data_NiPBr
_chemical_formula_sum 'Ni4 P4 Br4'
_symmetry_space_group_name_H-M 'F -4 3 m'
_symmetry_Int_Tables_number 216
_symmetry_space_group_name_Hall 'F -4 2 3'
_cell_length_a 6.0368
_cell_length_b 6.0368
_cell_length_c 6.0368
_cell_angle_alpha 90.00
_cell_angle_beta 90.00
_cell_angle_gamma 90.00
loop_
_atom_site_label
_atom_site_fract_x
_atom_site_fract_y
_atom_site_fract_z
_atom_site_occupancy
Ni1 0.0000 0.0000 0.0000 1
P1 0.0000 0.0000 0.5000 1
Br1 0.2500 0.2500 0.2500 1
```

Summary:
**N(E_F)**: 0.83 states/eV per atom
**Volume**: 18.3 A^3/atom



The most stable of them is run one.



Run one
NiRu2Br: optimized geometry, PBEsol.

Structure (CIF):
```
data_NiRu2Br
_chemical_formula_sum 'Ni1 Ru2 Br1'
_symmetry_space_group_name_H-M 'P m m m'
_symmetry_Int_Tables_number 47
_cell_length_a 2.7848
_cell_length_b 4.4736
_cell_length_c 4.5074
_cell_angle_alpha 90.00
_cell_angle_beta 90.00
_cell_angle_gamma 90.00
loop_
_symmetry_equiv_pos_as_xyz
'x,y,z'
'-x,-y,-z'
'-x,-y,z'
'x,y,-z'
'x,-y,-z'
'-x,y,z'
'-x,y,-z'
'x,-y,z'
loop_
_atom_site_label
_atom_site_fract_x
_atom_site_fract_y
_atom_site_fract_z
_atom_site_occupancy
Ni1 0.0000 0.0000 0.0000 1
Ru1 0.0000 0.5000 0.5000 1
Ru2 0.5000 0.5000 0.0000 1
Br1 0.5000 0.0000 0.5000 1
```

Summary:
**N(E_F)**: 1.57 states/eV per atom
**Volume**: 14.0 A^3/atom



Run two
NiRu2Br: optimized geometry, PBEsol.

Structure (CIF):
```
data_NiRu2Br
_chemical_formula_sum 'Ni1 Ru2 Br1'
_symmetry_space_group_name_H-M 'P 4/m m m'
_symmetry_Int_Tables_number 123
_symmetry_space_group_name_Hall '-P 4 2'
_cell_length_a 4.2941
_cell_length_b 4.2941
_cell_length_c 2.9320
_cell_angle_alpha 90.00
_cell_angle_beta 90.00
_cell_angle_gamma 90.00
loop_
_atom_site_label
_atom_site_fract_x
_atom_site_fract_y
_atom_site_fract_z
_atom_site_occupancy
Ni1 0.0000 0.0000 0.0000 1
Ru1 0.0000 0.5000 0.5000 1
Br1 0.5000 0.5000 0.0000 1
```

Summary:
**N(E_F)**: 1.16 states/eV per atom
**Volume**: 13.5 A^3/atom



The most stable of them is run two.



Run one
NiSb2Br: optimized geometry, PBEsol.

Structure (CIF):
```
data_NiSb2Br
_chemical_formula_sum 'Ni4 Sb8 Br4'
_symmetry_space_group_name_H-M 'F -4 3 m'
_symmetry_Int_Tables_number 216
_symmetry_space_group_name_Hall 'F -4 2 3'
_cell_length_a 6.9924
_cell_length_b 6.9924
_cell_length_c 6.9924
_cell_angle_alpha 90.00
_cell_angle_beta 90.00
_cell_angle_gamma 90.00
loop_
_atom_site_label
_atom_site_fract_x
_atom_site_fract_y
_atom_site_fract_z
_atom_site_occupancy
Ni1 0.0000 0.0000 0.0000 1
Sb1 0.0000 0.0000 0.5000 1
Sb2 0.2500 0.2500 0.7500 1
Br1 0.2500 0.2500 0.2500 1
```

Summary:
**N(E_F)**: 1.01 states/eV per atom
**Volume**: 21.4 A^3/atom



Run two
NiSb2Br: optimized geometry, PBEsol.

Structure (CIF):
```
data_NiSb2Br
_chemical_formula_sum 'Ni3 Sb6 Br3'
_symmetry_space_group_name_H-M 'R 3 m'
_symmetry_Int_Tables_number 160
_symmetry_space_group_name_Hall 'R 3 -2"'
_cell_length_a 3.5160
_cell_length_b 3.5160
_cell_length_c 25.3562
_cell_angle_alpha 90.00
_cell_angle_beta 90.00
_cell_angle_gamma 120.00
loop_
_atom_site_label
_atom_site_fract_x
_atom_site_fract_y
_atom_site_fract_z
_atom_site_occupancy
Ni1 0.0000 0.0000 0.0000 1
Sb1 0.0000 0.0000 0.2745 1
Sb2 0.0000 0.0000 0.5127 1
Br1 0.0000 0.0000 0.7218 1
```

Summary:
**N(E_F)**: 0.39 states/eV per atom
**Volume**: 22.6 A^3/atom



The most stable of them is run two.



Run one
Si2NiBr: optimized geometry, PBEsol.

Structure (CIF):
```
data_Si2NiBr
_chemical_formula_sum 'Si4 Ni2 Br2'
_symmetry_space_group_name_H-M 'C 1 m 1'
_symmetry_Int_Tables_number 8
_cell_length_a 7.2558
_cell_length_b 3.3300
_cell_length_c 6.9455
_cell_angle_alpha 90.00
_cell_angle_beta 121.45
_cell_angle_gamma 90.00
loop_
_symmetry_equiv_pos_as_xyz
'x,y,z'
'x,-y,z'
'x+1/2,y+1/2,z'
'x+1/2,-y+1/2,z'
loop_
_atom_site_label
_atom_site_fract_x
_atom_site_fract_y
_atom_site_fract_z
_atom_site_occupancy
Si1 0.0000 0.0000 0.0000 1
Si2 0.2057 0.0000 0.8318 1
Ni1 0.2749 0.5000 0.1346 1
Br1 0.4377 0.0000 0.4428 1
```

Summary:
**N(E_F)**: 0.52 states/eV per atom
**Volume**: 17.9 A^3/atom



Run two
Si2NiBr: optimized geometry, PBEsol.

Structure (CIF):
```
data_Si2NiBr
_chemical_formula_sum 'Si2 Ni1 Br1'
_symmetry_space_group_name_H-M 'P 4 m m'
_symmetry_Int_Tables_number 99
_cell_length_a 3.1595
_cell_length_b 3.1595
_cell_length_c 6.7185
_cell_angle_alpha 90.00
_cell_angle_beta 90.00
_cell_angle_gamma 90.00
loop_
_symmetry_equiv_pos_as_xyz
'x,y,z'
'-y,x,z'
'-x,-y,z'
'y,-x,z'
'-x,y,z'
'y,x,z'
'x,-y,z'
'-y,-x,z'
loop_
_atom_site_label
_atom_site_fract_x
_atom_site_fract_y
_atom_site_fract_z
_atom_site_occupancy
Si1 0.0000 0.0000 0.0000 1
Si2 0.5000 0.5000 0.1930 1
Ni1 0.5000 0.5000 0.8455 1
Br1 0.0000 0.0000 0.6049 1
```

Summary:
**N(E_F)**: 0.32 states/eV per atom
**Volume**: 16.8 A^3/atom



The most stable of them is run one.



Run one
SiNiBr2: optimized geometry, PBEsol.

Structure (CIF):
```
data_SiNiBr2
_chemical_formula_sum 'Si2 Ni2 Br4'
_symmetry_space_group_name_H-M 'C m m 2'
_symmetry_Int_Tables_number 35
_cell_length_a 3.5304
_cell_length_b 6.0331
_cell_length_c 7.9319
_cell_angle_alpha 90.00
_cell_angle_beta 90.00
_cell_angle_gamma 90.00
loop_
_symmetry_equiv_pos_as_xyz
'x,y,z'
'-x,-y,z'
'-x,y,z'
'x,-y,z'
'x+1/2,y+1/2,z'
'-x+1/2,-y+1/2,z'
'-x+1/2,y+1/2,z'
'x+1/2,-y+1/2,z'
loop_
_atom_site_label
_atom_site_fract_x
_atom_site_fract_y
_atom_site_fract_z
_atom_site_occupancy
Si1 0.0000 0.0000 0.0000 1
Ni1 0.0000 0.5000 0.8358 1
Br1 0.0000 0.0000 0.6323 1
Br2 0.0000 0.5000 0.2507 1
```

Summary:
**N(E_F)**: 0.60 states/eV per atom
**Volume**: 21.1 A^3/atom



Run two
SiNiBr2: optimized geometry, PBEsol.

Structure (CIF):
```
data_SiNiBr2
_chemical_formula_sum 'Si2 Ni2 Br4'
_symmetry_space_group_name_H-M 'I m m m'
_symmetry_Int_Tables_number 71
_symmetry_space_group_name_Hall '-I 2 2'
_cell_length_a 3.3892
_cell_length_b 3.4126
_cell_length_c 14.0159
_cell_angle_alpha 90.00
_cell_angle_beta 90.00
_cell_angle_gamma 90.00
loop_
_atom_site_label
_atom_site_fract_x
_atom_site_fract_y
_atom_site_fract_z
_atom_site_occupancy
Si1 0.0000 0.0000 0.0000 1
Ni1 0.0000 0.0000 0.5000 1
Br1 0.0000 0.5000 0.3503 1
```

Summary:
**N(E_F)**: 0.73 states/eV per atom
**Volume**: 20.3 A^3/atom



The most stable of them is run two.



Run one
TaNiBr: optimized geometry, PBEsol.

Structure (CIF):
```
data_TaNiBr
_chemical_formula_sum 'Ta2 Ni2 Br2'
_symmetry_space_group_name_H-M 'I 4 m m'
_symmetry_Int_Tables_number 107
_symmetry_space_group_name_Hall 'I 4 -2'
_cell_length_a 2.9923
_cell_length_b 2.9923
_cell_length_c 11.2410
_cell_angle_alpha 90.00
_cell_angle_beta 90.00
_cell_angle_gamma 90.00
loop_
_atom_site_label
_atom_site_fract_x
_atom_site_fract_y
_atom_site_fract_z
_atom_site_occupancy
Ta1 0.0000 0.0000 0.0000 1
Ni1 0.0000 0.0000 0.6369 1
Br1 0.0000 0.0000 0.3434 1
```

Summary:
**N(E_F)**: 0.88 states/eV per atom
**Volume**: 16.8 A^3/atom



Run two
TaNiBr: optimized geometry, PBEsol.

Structure (CIF):
```
data_TaNiBr
_chemical_formula_sum 'Ta4 Ni4 Br4'
_symmetry_space_group_name_H-M 'F -4 3 m'
_symmetry_Int_Tables_number 216
_symmetry_space_group_name_Hall 'F -4 2 3'
_cell_length_a 6.0018
_cell_length_b 6.0018
_cell_length_c 6.0018
_cell_angle_alpha 90.00
_cell_angle_beta 90.00
_cell_angle_gamma 90.00
loop_
_atom_site_label
_atom_site_fract_x
_atom_site_fract_y
_atom_site_fract_z
_atom_site_occupancy
Ta1 0.0000 0.0000 0.0000 1
Ni1 0.2500 0.2500 0.2500 1
Br1 0.2500 0.2500 0.7500 1
```

Summary:
**N(E_F)**: 0.91 states/eV per atom
**Volume**: 18.0 A^3/atom



The most stable of them is run one.



Run one
Zn2NiBr: optimized geometry, PBEsol.

Structure (CIF):
```
data_Zn2NiBr
_chemical_formula_sum 'Zn4 Ni2 Br2'
_symmetry_space_group_name_H-M 'I m m m'
_symmetry_Int_Tables_number 71
_symmetry_space_group_name_Hall '-I 2 2'
_cell_length_a 2.9288
_cell_length_b 3.9723
_cell_length_c 11.0423
_cell_angle_alpha 90.00
_cell_angle_beta 90.00
_cell_angle_gamma 90.00
loop_
_atom_site_label
_atom_site_fract_x
_atom_site_fract_y
_atom_site_fract_z
_atom_site_occupancy
Zn1 0.0000 0.0000 0.2038 1
Ni1 0.0000 0.5000 0.5000 1
Br1 0.0000 0.5000 0.0000 1
```

Summary:
**N(E_F)**: 0.42 states/eV per atom
**Volume**: 16.1 A^3/atom



Run two
Zn2NiBr: optimized geometry, PBEsol.

Structure (CIF):
```
data_Zn2NiBr
_chemical_formula_sum 'Zn8 Ni4 Br4'
_symmetry_space_group_name_H-M 'F -4 3 m'
_symmetry_Int_Tables_number 216
_symmetry_space_group_name_Hall 'F -4 2 3'
_cell_length_a 6.3451
_cell_length_b 6.3451
_cell_length_c 6.3451
_cell_angle_alpha 90.00
_cell_angle_beta 90.00
_cell_angle_gamma 90.00
loop_
_atom_site_label
_atom_site_fract_x
_atom_site_fract_y
_atom_site_fract_z
_atom_site_occupancy
Zn1 0.0000 0.0000 0.0000 1
Zn2 0.2500 0.2500 0.2500 1
Ni1 0.0000 0.0000 0.5000 1
Br1 0.2500 0.2500 0.7500 1
```

Summary:
**N(E_F)**: 1.16 states/eV per atom
**Volume**: 16.0 A^3/atom



Run three
Zn2NiBr: optimized geometry, PBEsol.

Structure (CIF):
```
data_Zn2NiBr
_chemical_formula_sum 'Zn2 Ni1 Br1'
_symmetry_space_group_name_H-M 'P 4 m m'
_symmetry_Int_Tables_number 99
_cell_length_a 3.3244
_cell_length_b 3.3244
_cell_length_c 6.4603
_cell_angle_alpha 90.00
_cell_angle_beta 90.00
_cell_angle_gamma 90.00
loop_
_symmetry_equiv_pos_as_xyz
'x,y,z'
'-y,x,z'
'-x,-y,z'
'y,-x,z'
'-x,y,z'
'y,x,z'
'x,-y,z'
'-y,-x,z'
loop_
_atom_site_label
_atom_site_fract_x
_atom_site_fract_y
_atom_site_fract_z
_atom_site_occupancy
Zn1 0.0000 0.0000 0.0000 1
Zn2 0.5000 0.5000 0.2838 1
Ni1 0.5000 0.5000 0.9303 1
Br1 0.0000 0.0000 0.5009 1
```

Summary:
**N(E_F)**: 0.41 states/eV per atom
**Volume**: 17.8 A^3/atom



The most stable of them is run three.